MnTlF3: relaxed, PBE with a Hubbard U.

POSCAR file:
```
MnTlF3
1.0
2.680 6.413 -3.534
-5.847 -3.020 4.182
2.597 1.521 4.729
Tl F Mn
2 6 2
Cartesian
3.173 5.944 1.329
-3.743 -1.030 4.048
2.665 3.612 2.358
0.000 0.000 0.000
-1.609 -0.440 2.686
1.039 5.354 2.691
-3.235 1.302 3.019
1.299 0.760 2.364
0.992 3.531 3.303
-1.561 1.383 2.074
```

Values from the calculation:
- Density: 5378 kg/m3
- Electronic total energy: -4.74 eV per atom